[1]
ZnCd2Hg8: optimized geometry, PBE.

Properties
Its energy above the most stable polymorph in this dataset is 0.0 meV/atom. The calculation puts the density of states at the Fermi level at 2.439 states/eV/f.u. The total magnetization is 0.00 μB/f.u. For the formation energy, the calculation gives 34 meV per atom.

Unit cell a=9.1735 b=9.1735 c=10.3419 alpha=112.02 beta=112.02 gamma=20.52
Last column: nearest neighbours and their distance in Å.
Element x y z (fractional)
Zn  0.0000  0.0000  0.0000  6 Hg 2.77-2.86
Cd  0.3413  0.3413  0.2076  6 Hg 3.00-3.17, 2 Cd 3.27
Cd  0.6587  0.6587  0.7924  6 Hg 3.00-3.17, 2 Cd 3.27
Hg  0.0915  0.0915  0.5198  2 Cd 3.08, 6 Hg 3.16-3.32
Hg  0.1629  0.1629  0.0573  1 Zn 2.77, 1 Cd 3.00
Hg  0.2901  0.2901  0.6478  8 Hg 3.19-3.32
Hg  0.4812  0.4812  0.7622  2 Zn 2.86, 1 Cd 3.10, 3 Hg 3.16-3.19
Hg  0.5188  0.5188  0.2378  2 Zn 2.86, 1 Cd 3.10, 3 Hg 3.16-3.19
Hg  0.7099  0.7099  0.3522  8 Hg 3.19-3.32
Hg  0.8371  0.8371  0.9427  1 Zn 2.77, 1 Cd 3.00
Hg  0.9085  0.9085  0.4802  2 Cd 3.08, 6 Hg 3.16-3.32


[2]
NbCoRu2: optimized geometry, PBE.

Properties
The calculation puts the density of states at the Fermi level at 5.258 states/eV/f.u. The total magnetization is 2.66 μB/f.u. For the formation energy, the calculation gives 7 meV per atom.

Unit cell a=3.1758 b=3.1758 c=5.7449 alpha=90.00 beta=90.00 gamma=90.00
Last column: nearest neighbours and their distance in Å.
Element x y z (fractional)
Nb  0.0000  0.0000  0.0000  8 Ru 2.72, 2 Co 2.87
Co  0.0000  0.0000  0.5000  8 Ru 2.61, 2 Nb 2.87
Ru  0.5000  0.5000  0.2686  4 Co 2.61, 1 Ru 2.66, 4 Nb 2.72
Ru  0.5000  0.5000  0.7314  4 Co 2.61, 1 Ru 2.66, 4 Nb 2.72


[3]
TbPrEuSn: optimized geometry, PBE.

Properties
The calculation puts the density of states at the Fermi level at 5.906 states/eV/f.u. The total magnetization is 7.74 μB/f.u. For the formation energy, the calculation gives -268 meV per atom.

Unit cell a=5.5538 b=5.5538 c=5.5538 alpha=60.00 beta=60.00 gamma=60.00
Last column: nearest neighbours and their distance in Å.
Element x y z (fractional)
Tb  0.0000  0.0000  0.0000  4 Sn 3.40, 4 Eu 3.40
Pr  0.5000  0.5000  0.5000  4 Eu 3.40, 4 Sn 3.40
Eu  0.2500  0.2500  0.2500  4 Pr 3.40, 4 Tb 3.40
Sn  0.7500  0.7500  0.7500  4 Pr 3.40, 4 Tb 3.40


[4]
K3SnI2F6: optimized geometry, PBE.

Properties
The calculation puts the density of states at the Fermi level at 1.884 states/eV/f.u. The total magnetization is 0.00 μB/f.u. For the formation energy from raw total energies, the calculation gives -2211 meV per atom.

Unit cell a=8.3563 b=8.3563 c=6.4109 alpha=90.32 beta=90.32 gamma=47.81
Last column: nearest neighbours and their distance in Å.
Element x y z (fractional)
K  0.0000  0.0000  0.0000  4 F 2.71
K  0.0000  0.5000  0.5000  2 F 2.52
K  0.5000  0.0000  0.5000  2 F 2.52
Sn  0.5000  0.5000  0.5000  6 F 2.00-2.03
I  0.2417  0.2417  0.0084  2 I 3.40, 1 F 3.48, 5 K 3.58-3.69
I  0.7583  0.7583  0.9916  2 I 3.40, 1 F 3.48, 5 K 3.58-3.69
F  0.2653  0.6917  0.2899  1 Sn 2.00
F  0.3083  0.7347  0.7101  1 Sn 2.00
F  0.3695  0.3695  0.5619  1 Sn 2.03
F  0.6305  0.6305  0.4381  1 Sn 2.03
F  0.6917  0.2653  0.2899  1 Sn 2.00
F  0.7347  0.3083  0.7101  1 Sn 2.00